## 1
# Ir5Ru, relaxed, DFT PBEsol
# Calculated volume ... 13.95 Å³/atom
# Magnetic moment ... 0.00 μB per atom
data_Ir5Ru
_chemical_formula_sum 'Ir5 Ru1'
_cell_length_a 2.700
_cell_length_b 2.700
_cell_length_c 11.479
_cell_angle_alpha 90.00
_cell_angle_beta 90.00
_cell_angle_gamma 90.00
_symmetry_space_group_name_H-M 'P 4/m m m'
_symmetry_Int_Tables_number 123
_symmetry_space_group_name_Hall '-P 4 2'
loop_
_atom_site_label
_atom_site_type_symbol
_atom_site_fract_x
_atom_site_fract_y
_atom_site_fract_z
_atom_site_occupancy
Ir1 Ir 0.000 0.000 0.000 1
Ir2 Ir 0.000 0.000 0.336 1
Ir3 Ir 0.500 0.500 0.167 1
Ru1 Ru 0.500 0.500 0.500 1

---

## 2
# Ir5Ru, relaxed, DFT PBEsol
# Calculated volume ... 13.97 Å³/atom
# Magnetic moment ... 0.00 μB per atom
data_Ir5Ru
_chemical_formula_sum 'Ir10 Ru2'
_cell_length_a 9.920
_cell_length_b 2.720
_cell_length_c 6.417
_cell_angle_alpha 90.00
_cell_angle_beta 104.55
_cell_angle_gamma 90.00
_symmetry_space_group_name_H-M 'C 1 m 1'
_symmetry_Int_Tables_number 8
loop_
_symmetry_equiv_pos_as_xyz
'x,y,z'
'x,-y,z'
'x+1/2,y+1/2,z'
'x+1/2,-y+1/2,z'
loop_
_atom_site_label
_atom_site_type_symbol
_atom_site_fract_x
_atom_site_fract_y
_atom_site_fract_z
_atom_site_occupancy
Ir1 Ir 0.000 0.000 0.000 1
Ir2 Ir 0.054 0.000 0.605 1
Ir3 Ir 0.168 0.500 0.331 1
Ir4 Ir 0.225 0.500 0.946 1
Ir5 Ir 0.334 0.000 0.664 1
Ru1 Ru 0.390 0.000 0.276 1

---

Verdict on stability: 2 comes out at the bottom.

---

## 1
# TaIr2Ru, relaxed, DFT PBEsol
# Calculated volume ... 14.55 Å³/atom
# Magnetic moment ... 0.00 μB per atom
data_TaIr2Ru
_chemical_formula_sum 'Ta2 Ir4 Ru2'
_cell_length_a 3.867
_cell_length_b 3.867
_cell_length_c 7.787
_cell_angle_alpha 90.00
_cell_angle_beta 90.00
_cell_angle_gamma 90.00
_symmetry_space_group_name_H-M 'I 4/m m m'
_symmetry_Int_Tables_number 139
_symmetry_space_group_name_Hall '-I 4 2'
loop_
_atom_site_label
_atom_site_type_symbol
_atom_site_fract_x
_atom_site_fract_y
_atom_site_fract_z
_atom_site_occupancy
Ta1 Ta 0.000 0.000 0.000 1
Ir1 Ir 0.000 0.500 0.250 1
Ru1 Ru 0.000 0.000 0.500 1

---

## 2
# TaIr2Ru, relaxed, DFT PBEsol
# Calculated volume ... 14.50 Å³/atom
# Magnetic moment ... 0.00 μB per atom
data_TaIr2Ru
_chemical_formula_sum 'Ta1 Ir2 Ru1'
_cell_length_a 3.867
_cell_length_b 3.867
_cell_length_c 3.878
_cell_angle_alpha 90.00
_cell_angle_beta 90.00
_cell_angle_gamma 90.00
_symmetry_space_group_name_H-M 'P 4/m m m'
_symmetry_Int_Tables_number 123
_symmetry_space_group_name_Hall '-P 4 2'
loop_
_atom_site_label
_atom_site_type_symbol
_atom_site_fract_x
_atom_site_fract_y
_atom_site_fract_z
_atom_site_occupancy
Ta1 Ta 0.000 0.000 0.000 1
Ir1 Ir 0.000 0.500 0.500 1
Ru1 Ru 0.500 0.500 0.000 1

---

Verdict on stability: 1 comes out at the bottom.

---

## 1
# TaIr2Ru, relaxed, DFT PBEsol
# Calculated volume ... 14.65 Å³/atom
# Magnetic moment ... 0.00 μB per atom
data_TaIr2Ru
_chemical_formula_sum 'Ta3 Ir6 Ru3'
_cell_length_a 2.7370
_cell_length_b 2.7370
_cell_length_c 27.0939
_cell_angle_alpha 90.00
_cell_angle_beta 90.00
_cell_angle_gamma 120.00
_symmetry_space_group_name_H-M 'R -3 m'
_symmetry_Int_Tables_number 166
_symmetry_space_group_name_Hall '-R 3 2"'
loop_
_atom_site_label
_atom_site_type_symbol
_atom_site_fract_x
_atom_site_fract_y
_atom_site_fract_z
_atom_site_occupancy
Ta1 Ta 0.0000 0.0000 0.0000 1
Ir1 Ir 0.0000 0.0000 0.2473 1
Ru1 Ru 0.0000 0.0000 0.5000 1

---

## 2
# TaIr2Ru, relaxed, DFT PBEsol
# Calculated volume ... 14.95 Å³/atom
# Magnetic moment ... 0.20 μB per atom
data_TaIr2Ru
_chemical_formula_sum 'Ta4 Ir8 Ru4'
_cell_length_a 6.208
_cell_length_b 6.208
_cell_length_c 6.208
_cell_angle_alpha 90.00
_cell_angle_beta 90.00
_cell_angle_gamma 90.00
_symmetry_space_group_name_H-M 'F -4 3 m'
_symmetry_Int_Tables_number 216
_symmetry_space_group_name_Hall 'F -4 2 3'
loop_
_atom_site_label
_atom_site_type_symbol
_atom_site_fract_x
_atom_site_fract_y
_atom_site_fract_z
_atom_site_occupancy
Ta1 Ta 0.000 0.000 0.000 1
Ir1 Ir 0.000 0.000 0.500 1
Ir2 Ir 0.250 0.250 0.750 1
Ru1 Ru 0.250 0.250 0.250 1

---

Verdict on stability: 2 comes out at the bottom.